Compound: Dy2CdAgAu4
Source: Alexandria
Functional: PBE-GGA
Structure: optimized geometry

## Properties
The value obtained for the density is 13.241 g cm⁻³. Its density of states at the Fermi level is 0.605 states/eV/atom. Its size of the total moment is 0.00 μB per cell. For the final energy, the calculation gives -31.2 eV per cell. The energy of formation from the pure elements comes out at -0.634 eV/atom.

a b c (Å): 8.483 8.483 8.483
angles (deg): 33.68 33.68 33.68
Positions (direct):
Dy1 0.248 0.248 0.248
Dy2 0.752 0.752 0.752
Cd1 0.000 0.000 0.000
Ag1 0.500 0.500 0.500
Au1 0.125 0.125 0.125
Au2 0.375 0.375 0.375
Au3 0.625 0.625 0.625
Au4 0.875 0.875 0.875

Compound: ErCdAgAu
Source: Alexandria
Functional: PBE-GGA
Structure: optimized geometry

## Properties
The value obtained for the density is 11.607 g cm⁻³. Its density of states at the Fermi level is 0.752 states/eV/atom. Its size of the total moment is 0.00 μB per cell. For the final energy, the calculation gives -13.5 eV per cell. The energy of formation from the pure elements comes out at -0.479 eV/atom.

a b c (Å): 4.908 4.908 4.908
angles (deg): 60.00 60.00 60.00
Positions (direct):
Er1 0.000 0.000 0.000
Cd1 0.500 0.500 0.500
Ag1 0.750 0.750 0.750
Au1 0.250 0.250 0.250